1.
A plane-wave DFT calculation with GGA-PBE was carried out for a geometry-optimized Ce8Hg3Ge4 structure.

Output
Crystal system: monoclinic
Total magnetic moment in μB per formula unit: 8.02
Energy of formation from the pure elements in eV/atom: -0.275

Cell lengths 8.698, 8.698, 7.947 Å; angles 116.94, 116.94, 90.00 degrees
Sites, in units of the cell vectors:
Ce1 0.227 0.227 0.975
Ce2 0.232 0.232 0.478
Ce3 0.239 0.761 0.000
Ce4 0.246 0.754 0.500
Ce5 0.754 0.246 0.500
Ce6 0.761 0.239 0.000
Ce7 0.768 0.768 0.522
Ce8 0.773 0.773 0.025
Hg1 0.000 0.500 0.000
Hg2 0.500 0.000 0.000
Hg3 0.500 0.500 0.000
Ge1 0.000 0.000 0.000
Ge2 0.000 0.000 0.500
Ge3 0.000 0.500 0.500
Ge4 0.500 0.000 0.500



2.
A plane-wave DFT calculation with GGA-PBE was carried out for a geometry-optimized Ce12HgGe6 structure.

Output
Crystal system: trigonal
Total magnetic moment in μB per formula unit: 8.47
Energy of formation from the pure elements in eV/atom: -0.395

Cell lengths 7.860, 7.860, 7.860 Å; angles 94.53, 94.53, 94.53 degrees
Sites, in units of the cell vectors:
Ce1 0.050 0.948 0.339
Ce2 0.052 0.661 0.950
Ce3 0.120 0.473 0.379
Ce4 0.339 0.050 0.948
Ce5 0.379 0.120 0.473
Ce6 0.473 0.379 0.120
Ce7 0.527 0.621 0.880
Ce8 0.621 0.880 0.527
Ce9 0.661 0.950 0.052
Ce10 0.880 0.527 0.621
Ce11 0.948 0.339 0.050
Ce12 0.950 0.052 0.661
Hg1 0.500 0.500 0.500
Ge1 0.206 0.351 0.768
Ge2 0.232 0.794 0.649
Ge3 0.351 0.768 0.206
Ge4 0.649 0.232 0.794
Ge5 0.768 0.206 0.351
Ge6 0.794 0.649 0.232



3.
A plane-wave DFT calculation with GGA-PBE was carried out for a geometry-optimized Ce7HgGe5 structure.

Output
Crystal system: orthorhombic
Total magnetic moment in μB per formula unit: 5.46
Energy of formation from the pure elements in eV/atom: -0.478

Cell lengths 7.979, 7.979, 7.979 Å; angles 135.09, 95.82, 100.98 degrees
Sites, in units of the cell vectors:
Ce1 0.000 0.000 0.000
Ce2 0.006 0.686 0.320
Ce3 0.367 0.686 0.680
Ce4 0.374 0.374 0.000
Ce5 0.480 0.146 0.334
Ce6 0.812 0.146 0.666
Ce7 0.853 0.353 0.500
Hg1 0.684 0.684 0.000
Ge1 0.165 0.200 0.519
Ge2 0.165 0.646 0.965
Ge3 0.408 0.908 0.500
Ge4 0.681 0.200 0.035
Ge5 0.681 0.646 0.481



4.
A plane-wave DFT calculation with GGA-PBE was carried out for a geometry-optimized Ce8Hg3Ge2 structure.

Output
Crystal system: monoclinic
Total magnetic moment in μB per formula unit: 6.99
Energy of formation from the pure elements in eV/atom: -0.267

Cell lengths 9.324, 9.324, 4.380 Å; angles 100.42, 100.42, 64.70 degrees
Sites, in units of the cell vectors:
Ce1 0.070 0.070 0.257
Ce2 0.101 0.583 0.859
Ce3 0.339 0.339 0.425
Ce4 0.417 0.899 0.141
Ce5 0.583 0.101 0.859
Ce6 0.661 0.661 0.575
Ce7 0.899 0.417 0.141
Ce8 0.930 0.930 0.743
Hg1 0.275 0.725 0.500
Hg2 0.500 0.500 0.000
Hg3 0.725 0.275 0.500
Ge1 0.209 0.209 0.837
Ge2 0.791 0.791 0.163



5.
A plane-wave DFT calculation with GGA-PBE was carried out for a geometry-optimized CeHgGe2 structure.

Output
Crystal system: tetragonal
Total magnetic moment in μB per formula unit: 0.31
Energy of formation from the pure elements in eV/atom: -0.423

Cell lengths 4.578, 4.578, 4.187 Å; angles 90.00, 90.00, 90.00 degrees
Sites, in units of the cell vectors:
Ce1 0.000 0.000 0.000
Hg1 0.500 0.500 0.000
Ge1 0.000 0.500 0.500
Ge2 0.500 0.000 0.500



6.
A plane-wave DFT calculation with GGA-PBE was carried out for a geometry-optimized Ce6HgGe structure.

Output
Crystal system: tetragonal
Distance to the lowest polymorph of the same formula in meV/atom: 0
Total magnetic moment in μB per formula unit: 0.00
Energy of formation from the pure elements in eV/atom: -0.206

Cell lengths 5.473, 5.473, 6.648 Å; angles 90.00, 90.00, 90.00 degrees
Sites, in units of the cell vectors:
Ce1 0.000 0.000 0.000
Ce2 0.000 0.000 0.500
Ce3 0.000 0.500 0.237
Ce4 0.000 0.500 0.763
Ce5 0.500 0.000 0.237
Ce6 0.500 0.000 0.763
Hg1 0.500 0.500 0.500
Ge1 0.500 0.500 0.000



7.
A plane-wave DFT calculation with GGA-PBE was carried out for a geometry-optimized Ce2HgGe structure.

Output
Crystal system: tetragonal
Total magnetic moment in μB per formula unit: 1.62
Energy of formation from the pure elements in eV/atom: -0.522

Cell lengths 3.878, 3.878, 6.771 Å; angles 90.00, 90.00, 90.00 degrees
Sites, in units of the cell vectors:
Ce1 0.000 0.000 0.207
Ce2 0.000 0.000 0.793
Hg1 0.500 0.500 0.500
Ge1 0.500 0.500 0.000



8.
A plane-wave DFT calculation with GGA-PBE was carried out for a geometry-optimized Ce5HgGe3 structure.

Output
Crystal system: hexagonal
Total magnetic moment in μB per formula unit: 6.29
Energy of formation from the pure elements in eV/atom: -0.587

Cell lengths 9.106, 9.106, 6.302 Å; angles 90.00, 90.00, 120.00 degrees
Sites, in units of the cell vectors:
Ce1 0.000 0.305 0.250
Ce2 0.000 0.695 0.750
Ce3 0.305 0.000 0.250
Ce4 0.305 0.305 0.750
Ce5 0.333 0.667 0.000
Ce6 0.333 0.667 0.500
Ce7 0.667 0.333 0.000
Ce8 0.667 0.333 0.500
Ce9 0.695 0.000 0.750
Ce10 0.695 0.695 0.250
Hg1 0.000 0.000 0.000
Hg2 0.000 0.000 0.500
Ge1 0.000 0.361 0.750
Ge2 0.000 0.639 0.250
Ge3 0.361 0.000 0.750
Ge4 0.361 0.361 0.250
Ge5 0.639 0.000 0.250
Ge6 0.639 0.639 0.750